1.
Here is a relaxed structure of YCoHg from the Open Quantum Materials Database. Energies are from PBE.

Properties
VASP energy = -4.65 eV per atom
crystal system = cubic
DFT formation energy = -0.029 eV/atom

The structure in POSCAR format:
```
YCoHg
1.0
0.000 3.199 3.199
3.199 0.000 3.199
3.199 3.199 0.000
Co Hg Y
1 1 1
Direct
0.000 0.000 0.000
0.250 0.250 0.250
0.750 0.750 0.750
```


2.
Here is a relaxed structure of DyScCSe from the Open Quantum Materials Database. Energies are from PBE.

Properties
VASP energy = -7.05 eV per atom
crystal system = hexagonal
relative energy among the computed polymorphs = 0.0 meV per atom

The structure in POSCAR format:
```
DyScCSe
1.0
3.638 0.000 0.000
-1.819 3.151 0.000
0.000 0.000 12.817
C Dy Sc Se
2 2 2 2
Direct
0.000 0.000 0.494
0.000 0.000 0.994
0.333 0.667 0.098
0.667 0.333 0.598
0.333 0.667 0.400
0.667 0.333 0.900
0.667 0.333 0.258
0.333 0.667 0.758
```


3.
Here is a relaxed structure of ZnFeTe2 from the Open Quantum Materials Database. Energies are from PBE.

Properties
VASP energy = -4.03 eV per atom
crystal system = tetragonal

The structure in POSCAR format:
```
ZnFeTe2
1.0
-3.073 3.073 6.075
3.073 -3.073 6.075
3.073 3.073 -6.075
Fe Te Zn
2 4 2
Direct
0.500 0.500 0.000
0.250 0.750 0.500
0.875 0.381 0.006
0.619 0.625 0.494
0.131 0.125 0.506
0.375 0.869 0.994
0.000 0.000 0.000
0.750 0.250 0.500
```


4.
Here is a relaxed structure of ZrTaSi from the Open Quantum Materials Database. Energies are from PBE.

Properties
VASP energy = -8.77 eV per atom
crystal system = cubic

The structure in POSCAR format:
```
ZrTaSi
1.0
0.000 3.101 3.101
3.101 0.000 3.101
3.101 3.101 0.000
Si Ta Zr
1 1 1
Direct
0.000 0.000 0.000
0.250 0.250 0.250
0.750 0.750 0.750
```


5.
Here is a relaxed structure of KPdO3 from the Open Quantum Materials Database. Energies are from PBE.

Properties
VASP energy = -4.50 eV per atom
crystal system = trigonal

The structure in POSCAR format:
```
KPdO3
1.0
-0.865 6.115 -1.113
5.019 3.630 -1.007
1.032 2.196 -5.787
K O Pd
2 6 2
Direct
0.000 0.000 0.000
0.500 0.500 0.500
0.750 0.469 0.031
0.531 0.969 0.250
0.031 0.750 0.469
0.969 0.250 0.531
0.469 0.031 0.750
0.250 0.531 0.969
0.250 0.250 0.250
0.750 0.750 0.750
```


6.
Here is a relaxed structure of TaBiN2O from the Open Quantum Materials Database. Energies are from PBE.

Properties
VASP energy = -8.35 eV per atom
crystal system = orthorhombic

The structure in POSCAR format:
```
TaBiN2O
1.0
3.978 0.000 0.000
0.000 5.824 0.000
0.000 0.000 5.859
Bi N O Ta
2 4 2 2
Direct
0.000 0.796 0.179
0.000 0.204 0.679
0.500 0.565 0.061
0.000 0.211 0.292
0.500 0.435 0.561
0.000 0.789 0.792
0.500 0.947 0.487
0.500 0.053 0.987
0.500 0.283 0.230
0.500 0.717 0.730
```


7.
Here is a relaxed structure of Y2Lu4Al3C3 from the Open Quantum Materials Database. Energies are from PBE.

Properties
VASP energy = -6.18 eV per atom
crystal system = monoclinic

The structure in POSCAR format:
```
Y2Lu4Al3C3
1.0
-2.973 0.487 -5.230
-2.639 -2.668 4.734
-2.964 15.281 3.109
Al C Lu Y
6 6 8 4
Direct
0.416 0.509 0.250
0.921 0.000 0.250
0.907 0.491 0.250
0.093 0.509 0.750
0.079 0.000 0.750
0.584 0.491 0.750
0.335 0.165 0.000
0.000 0.500 0.000
0.665 0.835 0.000
0.169 0.835 0.500
0.500 0.500 0.500
0.831 0.165 0.500
0.693 0.551 0.080
0.024 0.220 0.080
0.804 0.780 0.420
0.142 0.449 0.420
0.858 0.551 0.580
0.196 0.220 0.580
0.976 0.780 0.920
0.307 0.449 0.920
0.369 0.901 0.098
0.468 0.099 0.402
0.532 0.901 0.598
0.631 0.099 0.902
```


8.
Here is a relaxed structure of OsPtNO from the Open Quantum Materials Database. Energies are from PBE.

Properties
VASP energy = -7.35 eV per atom
crystal system = orthorhombic
relative energy among the computed polymorphs = 148.6 meV per atom

The structure in POSCAR format:
```
OsPtNO
1.0
-2.109 -1.459 1.297
3.187 -5.000 -0.440
2.417 1.087 5.153
N O Os Pt
2 2 2 2
Direct
0.000 0.322 0.308
0.000 0.678 0.808
0.500 0.843 0.420
0.500 0.157 0.920
0.000 0.604 0.486
0.000 0.396 0.986
0.500 0.788 0.040
0.500 0.212 0.540
```


9.
Here is a relaxed structure of PmAl from the Open Quantum Materials Database. Energies are from PBE.

Properties
VASP energy = -3.69 eV per atom
crystal system = hexagonal

The structure in POSCAR format:
```
PmAl
1.0
-4.153 -2.666 -2.059
3.021 -2.267 3.786
-3.640 2.344 4.308
Al Pm
2 2
Direct
0.333 0.667 0.438
0.000 0.000 0.938
0.000 0.000 0.437
0.333 0.667 0.937
```


10.
Here is a relaxed structure of Dy2TmCdPd4 from the Open Quantum Materials Database. Energies are from PBE.

Properties
VASP energy = -5.24 eV per atom
crystal system = tetragonal
DFT formation energy = -0.831 eV/atom

The structure in POSCAR format:
```
Dy2TmCdPd4
1.0
-3.232 2.192 2.904
2.495 -1.491 3.903
3.745 5.774 -0.189
Cd Dy Pd Tm
1 2 4 1
Direct
0.000 0.000 0.500
0.000 0.000 0.000
0.500 0.500 0.500
0.500 0.000 0.246
0.000 0.500 0.246
0.500 0.000 0.754
0.000 0.500 0.754
0.500 0.500 0.000
```


11.
Here is a relaxed structure of Hf31TaO64 from the Open Quantum Materials Database. Energies are from PBE.

Properties
VASP energy = -10.13 eV per atom
crystal system = triclinic
relative energy among the computed polymorphs = 4.3 meV per atom

The structure in POSCAR format:
```
Hf31TaO64
1.0
10.018 0.000 0.000
0.003 10.073 0.000
0.003 0.003 10.444
Hf O Ta
31 64 1
Direct
0.991 0.376 0.108
0.991 0.875 0.108
0.491 0.376 0.108
0.492 0.875 0.108
0.258 0.125 0.141
0.759 0.126 0.141
0.259 0.625 0.142
0.759 0.875 0.358
0.259 0.375 0.358
0.759 0.376 0.358
0.259 0.875 0.358
0.491 0.126 0.391
0.491 0.625 0.391
0.991 0.126 0.391
0.992 0.626 0.392
0.491 0.375 0.608
0.491 0.875 0.608
0.991 0.376 0.608
0.991 0.876 0.609
0.758 0.125 0.641
0.259 0.125 0.641
0.759 0.626 0.642
0.259 0.626 0.642
0.758 0.376 0.858
0.258 0.376 0.858
0.759 0.876 0.859
0.259 0.875 0.859
0.991 0.126 0.891
0.491 0.126 0.891
0.492 0.625 0.892
0.990 0.626 0.892
0.851 0.501 0.007
0.854 0.000 0.007
0.355 0.999 0.008
0.354 0.500 0.008
0.589 0.196 0.058
0.090 0.696 0.058
0.594 0.694 0.058
0.089 0.195 0.059
0.661 0.450 0.190
0.160 0.445 0.191
0.160 0.944 0.191
0.659 0.948 0.192
0.395 0.250 0.242
0.895 0.250 0.242
0.396 0.750 0.242
0.896 0.749 0.243
0.896 0.501 0.256
0.895 0.000 0.257
0.396 0.500 0.257
0.395 0.000 0.258
0.659 0.198 0.308
0.662 0.694 0.308
0.160 0.194 0.309
0.161 0.694 0.309
0.589 0.445 0.441
0.089 0.444 0.441
0.590 0.945 0.441
0.089 0.945 0.441
0.354 0.250 0.492
0.854 0.251 0.492
0.355 0.750 0.492
0.855 0.751 0.493
0.854 0.501 0.507
0.854 0.000 0.507
0.354 0.500 0.507
0.355 0.000 0.508
0.590 0.695 0.558
0.589 0.195 0.558
0.089 0.194 0.559
0.090 0.695 0.559
0.660 0.445 0.690
0.161 0.445 0.691
0.661 0.944 0.691
0.161 0.944 0.691
0.895 0.250 0.742
0.395 0.250 0.742
0.396 0.750 0.742
0.896 0.751 0.743
0.895 0.001 0.757
0.895 0.501 0.757
0.395 0.500 0.758
0.395 0.000 0.758
0.660 0.195 0.808
0.661 0.695 0.808
0.160 0.195 0.808
0.161 0.694 0.809
0.588 0.443 0.940
0.088 0.445 0.941
0.089 0.945 0.941
0.590 0.945 0.941
0.855 0.251 0.992
0.354 0.250 0.992
0.357 0.749 0.993
0.852 0.750 0.994
0.760 0.625 0.144
```


12.
Here is a relaxed structure of PrCoRe from the Open Quantum Materials Database. Energies are from PBE.

Properties
VASP energy = -6.35 eV per atom
crystal system = cubic
DFT formation energy = 1.753 eV/atom

The structure in POSCAR format:
```
PrCoRe
1.0
2.080 -0.929 3.933
-0.428 2.839 3.523
-2.445 -1.232 3.628
Co Pr Re
1 1 1
Direct
0.250 0.250 0.250
0.000 0.000 0.000
0.750 0.750 0.750
```


no.,calculated volume (Å³ per cell)
1,65.5
2,146.9
3,229.5
4,59.7
5,179.5
6,135.7
7,489.1
8,99.0
9,151.3
10,163.0
11,1053.9
12,66.4